[1]
Rb2Hg2Pd: optimized geometry, PBE.

It has space group I4/mmm (No. 139), with a = 6.9319 Å, b = 6.9319 Å, c = 8.2072 Å, α = 90.00°, β = 90.00° and γ = 90.00°. Symmetry generates all atoms from Rb at (0.0000, 0.5000, 0.2500), Hg at (0.0000, 0.0000, 0.1739) and Pd at (0.0000, 0.0000, 0.5000).

The calculation puts the raw total energy at -1.60 eV/atom. For the energy above the most stable polymorph in this dataset, the calculation gives 124 meV/atom.

***

[2]
Hf2CuSi2: optimized geometry, PBE.

It has space group P4/mbm (No. 127), with a = 6.4232 Å, b = 6.4232 Å, c = 3.9461 Å, α = 90.00°, β = 90.00° and γ = 90.00°. Symmetry generates all atoms from Hf at (0.1768, 0.3232, 0.0000), Cu at (0.0000, 0.0000, 0.5000) and Si at (0.1287, 0.6287, 0.5000).

The energy relative to the elements, uncorrected is -0.60 eV/atom. The calculation puts the raw total energy at -7.57 eV/atom.

***

Q: The lowest raw total energy belongs to which entry?
A: Hf2CuSi2

***

Q: The highest raw total energy belongs to which entry?
A: Rb2Hg2Pd